VASP calculation (GGA-PBE) on a relaxed structure of CaTlPb2.

Structure (POSCAR):
```
CaTlPb2
1.0
-2.172 -5.001 -2.855
-2.965 -3.792 3.836
-0.365 6.038 -1.135
Pb Ca Tl
2 1 1
Direct
0.000 0.000 0.000 Pb
0.500 0.500 0.000 Pb
0.250 0.750 0.500 Ca
0.750 0.250 0.500 Tl
```

The total energy comes out at -3.23 eV/atom. The value obtained for the total magnetization is 0.0 μB per formula unit. The calculation puts the density of states at the Fermi level at 1.996 states/eV/cell.

---

VASP calculation (GGA-PBE) on a relaxed structure of CaTlPb2.

Structure (POSCAR):
```
CaTlPb2
1.0
-1.001 1.213 -3.362
-3.515 0.306 1.154
1.588 8.477 2.585
Tl Ca Pb
1 1 2
Direct
0.000 0.000 0.502 Tl
0.500 0.500 0.741 Ca
0.500 0.500 0.257 Pb
0.000 0.000 0.999 Pb
```

The total energy comes out at -3.12 eV/atom. The value obtained for the total magnetization is 0.0 μB per formula unit. The calculation puts the density of states at the Fermi level at 2.108 states/eV/cell.

---

VASP calculation (GGA-PBE) on a relaxed structure of CaTl2Pb2.

Structure (POSCAR):
```
CaTl2Pb2
1.0
8.850 0.000 0.000
0.000 8.850 0.000
0.000 0.000 4.034
Tl Ca Pb
4 2 4
Direct
0.368 0.868 0.000 Tl
0.632 0.132 0.000 Tl
0.132 0.368 0.000 Tl
0.868 0.632 0.000 Tl
0.500 0.500 0.000 Ca
0.000 0.000 0.000 Ca
0.334 0.166 0.500 Pb
0.166 0.666 0.500 Pb
0.834 0.334 0.500 Pb
0.666 0.834 0.500 Pb
```

The value obtained for the total magnetization is 0.0 μB per formula unit. The calculation puts the density of states at the Fermi level at 4.483 states/eV/cell. Its relative energy among the computed polymorphs is 0.51 eV/f.u.

---

VASP calculation (GGA-PBE) on a relaxed structure of Ca2Tl3Pb2.

Structure (POSCAR):
```
Ca2Tl3Pb2
1.0
8.347 0.000 0.000
-2.782 7.869 0.000
-2.782 -3.935 6.815
Ca Tl Pb
4 6 4
Direct
0.525 0.025 0.025 Ca
0.000 0.000 0.475 Ca
0.975 0.500 0.000 Ca
0.500 0.475 0.500 Ca
0.750 0.514 0.264 Tl
0.736 0.750 0.986 Tl
0.250 0.986 0.236 Tl
0.014 0.264 0.250 Tl
0.764 0.250 0.514 Tl
0.486 0.236 0.750 Tl
0.354 0.500 0.000 Pb
0.500 0.854 0.500 Pb
0.000 0.000 0.854 Pb
0.146 0.646 0.646 Pb
```

The value obtained for the total magnetization is 0.0 μB per formula unit. The calculation puts the density of states at the Fermi level at 10.694 states/eV/cell. Its relative energy among the computed polymorphs is 0.41 eV/f.u.